(1)
The following is a PBE calculation of a relaxed Rb3BaMg crystal, from Alexandria via LeMat-Bulk.

POSCAR file:
```
Rb3BaMg
1.0
8.7034 0.0000 0.0000
0.0000 8.7034 0.0000
0.0000 0.0000 8.7034
Mg Ba Rb
1 1 3
Direct
0.5000 0.5000 0.5000 Mg
0.0000 0.0000 0.0000 Ba
0.0000 0.5000 0.0000 Rb
0.0000 0.0000 0.5000 Rb
0.5000 0.0000 0.0000 Rb
```

volume: 659 Å³/cell
energy above the lowest structure with this stoichiometry: 356 meV per atom
N(E_F): 5.77 states/eV/f.u.
ρ: 1053 kg/m3
size of the total moment: 1.0 μB/f.u.
raw total energy: -0.607 eV/atom
formation energy from the elements: 3.4 eV per formula unit
space-group type: Pm-3m (221)

---

(2)
The following is a PBE calculation of a relaxed KIn6Au12 crystal, from Alexandria via LeMat-Bulk.

POSCAR file:
```
KIn6Au12
1.0
-4.5722 -3.6895 -5.1432
7.1406 -2.7805 -1.5000
-1.8789 -3.2430 6.8499
K In Au
1 6 12
Direct
0.0000 0.0000 0.0000 K
0.6954 0.2860 0.2860 In
0.2860 0.2860 0.6954 In
0.2860 0.6954 0.2860 In
0.7140 0.7140 0.3046 In
0.3046 0.7140 0.7140 In
0.7140 0.3046 0.7140 In
0.8877 0.1123 0.5000 Au
0.8808 0.6312 0.6312 Au
0.6312 0.6312 0.8808 Au
0.3688 0.1192 0.3688 Au
0.3688 0.3688 0.1192 Au
0.1192 0.3688 0.3688 Au
0.1123 0.5000 0.8877 Au
0.5000 0.8877 0.1123 Au
0.1123 0.8877 0.5000 Au
0.8877 0.5000 0.1123 Au
0.5000 0.1123 0.8877 Au
0.6312 0.8808 0.6312 Au
```

volume: 425 Å³/cell
energy above the lowest structure with this stoichiometry: 19 meV per atom
N(E_F): 5.75 states/eV/f.u.
ρ: 12069 kg/m3
size of the total moment: 0.0 μB/f.u.
raw total energy: -3.130 eV/atom
formation energy from the elements: -2.6 eV per formula unit
space-group type: R-3m (166)

---

> What is the N(E_F) in the second record?

5.75 states/eV/f.u.

---

> The lowest volume belongs to which entry?

KIn6Au12

---

> Among the records above, which one has the highest volume?

Rb3BaMg

---

Repeat the second record exactly.
The following is a PBE calculation of a relaxed KIn6Au12 crystal, from Alexandria via LeMat-Bulk.

POSCAR file:
```
KIn6Au12
1.0
-4.5722 -3.6895 -5.1432
7.1406 -2.7805 -1.5000
-1.8789 -3.2430 6.8499
K In Au
1 6 12
Direct
0.0000 0.0000 0.0000 K
0.6954 0.2860 0.2860 In
0.2860 0.2860 0.6954 In
0.2860 0.6954 0.2860 In
0.7140 0.7140 0.3046 In
0.3046 0.7140 0.7140 In
0.7140 0.3046 0.7140 In
0.8877 0.1123 0.5000 Au
0.8808 0.6312 0.6312 Au
0.6312 0.6312 0.8808 Au
0.3688 0.1192 0.3688 Au
0.3688 0.3688 0.1192 Au
0.1192 0.3688 0.3688 Au
0.1123 0.5000 0.8877 Au
0.5000 0.8877 0.1123 Au
0.1123 0.8877 0.5000 Au
0.8877 0.5000 0.1123 Au
0.5000 0.1123 0.8877 Au
0.6312 0.8808 0.6312 Au
```

volume: 425 Å³/cell
energy above the lowest structure with this stoichiometry: 19 meV per atom
N(E_F): 5.75 states/eV/f.u.
ρ: 12069 kg/m3
size of the total moment: 0.0 μB/f.u.
raw total energy: -3.130 eV/atom
formation energy from the elements: -2.6 eV per formula unit
space-group type: R-3m (166)